(1)
Here is a geometry-optimized MnTlCl2 structure from the Alexandria database. Energies are from PBE.

Cell and atoms, written as extended XYZ:
```
4
Lattice="3.6358 0.0000 0.0000 0.0000 3.6021 -0.3045 0.0000 0.9448 9.1376" Properties=species:S:1:pos:R:3 pbc="T T T"
Tl 1.8179 3.9048 6.5936
Mn 0.0000 1.5652 2.1732
Cl 0.0000 3.2381 0.4799
Cl 1.8179 1.7143 3.6984
```

The energy above the most stable polymorph in this dataset is 71 meV per atom. The space-group type is Pm, No. 6. The formation energy from raw total energies is -0.6439 eV per atom. Its density is 4.54 Mg/m³.

***

(2)
Here is a geometry-optimized MnTlCl2 structure from the Alexandria database. Energies are from PBE.

Cell and atoms, written as extended XYZ:
```
4
Lattice="-6.8518 -1.2109 -6.6203 -7.4781 -4.0559 -4.4576 -8.8577 -0.8054 -3.6243" Properties=species:S:1:pos:R:3 pbc="T T T"
Tl -17.3907 -4.5541 -11.0267
Mn -5.7969 -1.5180 -3.6756
Cl -22.4504 -5.8791 -14.2348
Cl -12.3310 -3.2291 -7.8185
```

The energy above the most stable polymorph in this dataset is 0 meV per atom. The space-group type is R-3m, No. 166. The formation energy from raw total energies is -0.7146 eV per atom. Its density is 5.13 Mg/m³.

***

(3)
Here is a geometry-optimized MnTlCl2 structure from the Alexandria database. Energies are from PBE.

Cell and atoms, written as extended XYZ:
```
4
Lattice="3.4686 0.0000 0.0000 0.0000 3.4686 0.0000 0.0000 0.0000 8.9855" Properties=species:S:1:pos:R:3 pbc="T T T"
Tl 1.7343 1.7343 6.9865
Mn 0.0000 0.0000 2.6243
Cl 0.0000 0.0000 0.3697
Cl 1.7343 1.7343 3.4979
```

The energy above the most stable polymorph in this dataset is 156 meV per atom. The space-group type is P4mm, No. 99. The formation energy from raw total energies is -0.5584 eV per atom. Its density is 5.07 Mg/m³.

***

(4)
Here is a geometry-optimized MnTl2Cl5 structure from the Alexandria database. Energies are from PBE.

Cell and atoms, written as extended XYZ:
```
8
Lattice="-1.2820 -1.0353 6.7953 -4.3490 -2.9043 -4.6414 5.6622 -3.0253 -2.7711" Properties=species:S:1:pos:R:3 pbc="T T T"
Mn 0.0223 -0.1008 -0.1260
Tl 2.5370 -3.5969 0.0537
Tl -2.4686 -3.5364 -0.8814
Cl 0.2815 -5.0613 -1.8339
Cl -2.1514 -2.8059 -4.0690
Cl 3.4091 -2.8731 -3.0302
Cl -0.3058 -1.6530 1.5299
Cl 0.3430 -1.5487 -1.9361
```

The energy above the most stable polymorph in this dataset is 0 meV per atom. The space-group type is I4mm, No. 107. The formation energy from raw total energies is -1.0165 eV per atom. Its density is 4.28 Mg/m³.

***

(5)
Here is a geometry-optimized Mn2TlCl6 structure from the Alexandria database. Energies are from PBE.

Cell and atoms, written as extended XYZ:
```
9
Lattice="6.4623 0.0000 0.0000 -3.2312 5.5965 0.0000 0.0000 0.0000 7.0522" Properties=species:S:1:pos:R:3 pbc="T T T"
Mn 0.0000 3.7310 3.5261
Mn 3.2312 1.8655 3.5261
Tl 0.0000 0.0000 0.0000
Cl 4.0152 0.0000 2.1249
Cl 1.2236 2.1193 2.1249
Cl -2.0076 3.4772 2.1249
Cl 2.0076 3.4772 4.9273
Cl -1.2236 2.1193 4.9273
Cl 2.4472 0.0000 4.9273
```

The space-group type is P-31m, No. 162. The formation energy from raw total energies is -1.0300 eV per atom. Its density is 3.43 Mg/m³.

***

(6)
Here is a geometry-optimized Mn2TlCl structure from the Alexandria database. Energies are from PBE.

Cell and atoms, written as extended XYZ:
```
4
Lattice="6.4585 -0.0037 -0.1057 5.7041 3.0292 -0.1057 0.0684 0.0170 4.7445" Properties=species:S:1:pos:R:3 pbc="T T T"
Cl 8.3687 2.0818 -0.1432
Mn 0.1395 0.0347 -0.0012
Mn 4.1715 1.0377 4.6700
Tl 5.6668 1.4097 2.2741
```

The energy above the most stable polymorph in this dataset is 56 meV per atom. The space-group type is Cm, No. 8. The formation energy from raw total energies is 0.1579 eV per atom. Its density is 6.25 Mg/m³.

***

(7)
Here is a geometry-optimized MnTlCl3 structure from the Alexandria database. Energies are from PBE.

Cell and atoms, written as extended XYZ:
```
5
Lattice="5.0599 0.0000 0.0000 0.0000 5.0599 0.0000 0.0000 0.0000 5.0599" Properties=species:S:1:pos:R:3 pbc="T T T"
Tl 2.5299 2.5299 2.5299
Mn 0.0000 0.0000 0.0000
Cl 0.0000 2.5299 0.0000
Cl 0.0000 0.0000 2.5299
Cl 2.5299 0.0000 0.0000
```

The energy above the most stable polymorph in this dataset is 29 meV per atom. The space-group type is Pm-3m, No. 221. The formation energy from raw total energies is -1.0425 eV per atom. Its density is 4.69 Mg/m³.

***

(8)
Here is a geometry-optimized Mn2TlCl structure from the Alexandria database. Energies are from PBE.

Cell and atoms, written as extended XYZ:
```
4
Lattice="-1.0964 -0.3993 -3.0174 -0.3320 -3.1723 0.5405 -7.6948 1.2535 2.6300" Properties=species:S:1:pos:R:3 pbc="T T T"
Cl -7.2873 -0.7151 1.0082
Mn -0.0694 0.0113 0.0237
Mn -2.2656 -1.5331 -0.7082
Tl -3.3483 0.5454 1.1444
```

The energy above the most stable polymorph in this dataset is 0 meV per atom. The space-group type is P4mm, No. 99. The formation energy from raw total energies is 0.1017 eV per atom. Its density is 6.74 Mg/m³.

***

(9)
Here is a geometry-optimized Mn2TlCl structure from the Alexandria database. Energies are from PBE.

Cell and atoms, written as extended XYZ:
```
4
Lattice="-2.2075 -1.5466 -1.6263 0.0509 -3.9865 3.7220 -3.3750 2.2428 2.4483" Properties=species:S:1:pos:R:3 pbc="T T T"
Cl -1.6621 -0.8719 3.0852
Mn 0.0000 0.0000 0.0000
Mn -1.0783 -2.7665 1.0478
Tl -2.7912 0.3481 0.4110
```

The energy above the most stable polymorph in this dataset is 264 meV per atom. The space-group type is Pmmm, No. 47. The formation energy from raw total energies is 0.3662 eV per atom. Its density is 7.14 Mg/m³.

***

(10)
Here is a geometry-optimized MnTlCl5 structure from the Alexandria database. Energies are from PBE.

Cell and atoms, written as extended XYZ:
```
7
Lattice="5.2290 0.0000 2.3355 1.7341 6.2165 3.1389 -0.0673 -0.2527 7.1719" Properties=species:S:1:pos:R:3 pbc="T T T"
Mn 3.1541 2.9819 6.1919
Tl 6.8359 6.2165 5.4176
Cl 4.3908 1.7727 4.8046
Cl 1.1985 2.9820 5.3184
Cl 2.9462 4.1912 8.0388
Cl 2.8184 1.1256 7.4302
Cl 3.8523 4.8384 5.1156
```

The space-group type is Imm2, No. 44. The formation energy from raw total energies is -0.8369 eV per atom. Its density is 3.06 Mg/m³.

***

(11)
Here is a geometry-optimized Mn2TlCl4 structure from the Alexandria database. Energies are from PBE.

Cell and atoms, written as extended XYZ:
```
7
Lattice="-5.6789 2.2813 2.2284 0.9753 -5.3561 -3.5751 3.0059 -1.5999 5.5521" Properties=species:S:1:pos:R:3 pbc="T T T"
Mn 0.8147 -4.2467 0.6518
Mn -2.5124 -0.4280 3.5536
Tl -2.3518 -1.5374 -0.6733
Cl -0.2699 -0.7851 2.7354
Cl -4.0404 -0.0081 1.7330
Cl 2.3427 -4.6666 2.4724
Cl -1.4278 -3.8896 1.4700
```

The space-group type is I4/m, No. 87. The formation energy from raw total energies is -0.7960 eV per atom. Its density is 3.85 Mg/m³.

***

(12)
Here is a geometry-optimized MnTl2Cl3 structure from the Alexandria database. Energies are from PBE.

Cell and atoms, written as extended XYZ:
```
6
Lattice="4.4845 0.0000 0.0000 0.0000 5.0740 0.0000 -2.2423 -2.5370 8.0820" Properties=species:S:1:pos:R:3 pbc="T T T"
Mn 0.0000 0.0000 0.0000
Tl 2.2423 2.5370 2.2855
Tl 0.0000 0.0000 5.7965
Cl 0.0000 2.5370 0.0000
Cl 2.2423 2.5370 5.6852
Cl 0.0000 0.0000 2.3968
```

The space-group type is Immm, No. 71. The formation energy from raw total energies is -0.7066 eV per atom. Its density is 5.15 Mg/m³.

***

(13)
Here is a geometry-optimized Mn2TlCl structure from the Alexandria database. Energies are from PBE.

Cell and atoms, written as extended XYZ:
```
4
Lattice="-2.5412 -1.3440 -1.5529 1.3918 -3.0753 0.3840 -3.5374 -0.7851 6.4682" Properties=species:S:1:pos:R:3 pbc="T T T"
Cl -2.8798 -3.5672 4.3627
Mn 0.9907 -2.3152 0.3826
Mn -0.6717 -2.6902 3.4275
Tl -1.8070 -1.6371 0.9366
```

The energy above the most stable polymorph in this dataset is 88 meV per atom. The space-group type is P2/m, No. 10. The formation energy from raw total energies is 0.1900 eV per atom. Its density is 7.06 Mg/m³.